# NaPmOs, relaxed, DFT PBE
# Total moment, Bohr magnetons per cell: 0.02
# Space group: F-43m
# Crystal system: cubic
# Offset from the most stable computed form, eV per formula unit: 1.041
data_NaPmOs
_chemical_formula_sum 'Na1 Pm1 Os1'
_cell_length_a 4.722
_cell_length_b 4.722
_cell_length_c 4.722
_cell_angle_alpha 60.00
_cell_angle_beta 60.00
_cell_angle_gamma 60.00
_space_group_name_H-M_alt 'P 1'
_space_group_IT_number 1
loop_
_space_group_symop_operation_xyz
'x,y,z'
loop_
_atom_site_label
_atom_site_type_symbol
_atom_site_fract_x
_atom_site_fract_y
_atom_site_fract_z
Os1 Os 0.000 0.000 0.000
Na1 Na 0.500 0.500 0.500
Pm1 Pm 0.250 0.250 0.250


# Tm2Al2PtAu3, relaxed, DFT PBE
# Total moment, Bohr magnetons per cell: 0.00
# Space group: P3m1
# Energy, eV per atom: -4.9266
# Crystal system: trigonal
data_Tm2Al2PtAu3
_chemical_formula_sum 'Tm2 Al2 Pt1 Au3'
_cell_length_a 4.470
_cell_length_b 4.470
_cell_length_c 9.054
_cell_angle_alpha 90.00
_cell_angle_beta 90.00
_cell_angle_gamma 120.00
_space_group_name_H-M_alt 'P 1'
_space_group_IT_number 1
loop_
_space_group_symop_operation_xyz
'x,y,z'
loop_
_atom_site_label
_atom_site_type_symbol
_atom_site_fract_x
_atom_site_fract_y
_atom_site_fract_z
Au1 Au 0.667 0.333 0.088
Au2 Au 0.000 0.000 0.588
Au3 Au 0.667 0.333 0.415
Pt1 Pt 0.000 0.000 0.922
Tm1 Tm 0.000 0.000 0.248
Tm2 Tm 0.667 0.333 0.759
Al1 Al 0.333 0.667 0.501
Al2 Al 0.333 0.667 0.979


# Co3CuSb5, relaxed, DFT PBE
# Total moment, Bohr magnetons per cell: 0.08
# Space group: P6/mmm
# Energy, eV per atom: -4.9014
# Crystal system: hexagonal
data_Co3CuSb5
_chemical_formula_sum 'Co3 Cu1 Sb5'
_cell_length_a 5.224
_cell_length_b 5.224
_cell_length_c 7.678
_cell_angle_alpha 90.00
_cell_angle_beta 90.00
_cell_angle_gamma 120.00
_space_group_name_H-M_alt 'P 1'
_space_group_IT_number 1
loop_
_space_group_symop_operation_xyz
'x,y,z'
loop_
_atom_site_label
_atom_site_type_symbol
_atom_site_fract_x
_atom_site_fract_y
_atom_site_fract_z
Sb1 Sb 0.333 0.667 0.783
Sb2 Sb 0.000 0.000 0.500
Sb3 Sb 0.333 0.667 0.217
Sb4 Sb 0.667 0.333 0.783
Sb5 Sb 0.667 0.333 0.217
Co1 Co 0.500 0.500 0.500
Co2 Co 0.500 0.000 0.500
Co3 Co 0.000 0.500 0.500
Cu1 Cu 0.000 0.000 0.000


# La2Hg, relaxed, DFT PBE
# Total moment, Bohr magnetons per cell: 0.36
# Space group: Fd-3m
# ΔE_f, eV/f.u.: 3.46
# Crystal system: cubic
data_La2Hg
_chemical_formula_sum 'La4 Hg2'
_cell_length_a 9.539
_cell_length_b 9.539
_cell_length_c 9.539
_cell_angle_alpha 60.00
_cell_angle_beta 60.00
_cell_angle_gamma 60.00
_space_group_name_H-M_alt 'P 1'
_space_group_IT_number 1
loop_
_space_group_symop_operation_xyz
'x,y,z'
loop_
_atom_site_label
_atom_site_type_symbol
_atom_site_fract_x
_atom_site_fract_y
_atom_site_fract_z
Hg1 Hg 0.500 0.500 0.500
Hg2 Hg 0.250 0.250 0.250
La1 La 0.375 0.875 0.375
La2 La 0.375 0.375 0.375
La3 La 0.875 0.375 0.375
La4 La 0.375 0.375 0.875


# LaHoNO, relaxed, DFT PBE
# Total moment, Bohr magnetons per cell: 1.13
# Space group: Pmc2_1
# Crystal system: orthorhombic
# Offset from the most stable computed form, eV per formula unit: 0.000
data_LaHoNO
_chemical_formula_sum 'La2 Ho2 N2 O2'
_cell_length_a 4.049
_cell_length_b 5.031
_cell_length_c 7.173
_cell_angle_alpha 90.00
_cell_angle_beta 90.00
_cell_angle_gamma 90.00
_space_group_name_H-M_alt 'P 1'
_space_group_IT_number 1
loop_
_space_group_symop_operation_xyz
'x,y,z'
loop_
_atom_site_label
_atom_site_type_symbol
_atom_site_fract_x
_atom_site_fract_y
_atom_site_fract_z
Ho1 Ho 0.000 0.939 0.659
Ho2 Ho 0.000 0.439 0.341
O1 O 0.500 0.439 0.204
O2 O 0.500 0.939 0.796
N1 N 0.000 0.937 0.348
N2 N 0.000 0.437 0.652
La1 La 0.500 0.439 0.837
La2 La 0.500 0.939 0.163


# HfTlCuNi, relaxed, DFT PBE
# Total moment, Bohr magnetons per cell: 0.00
# Space group: F-43m
# Crystal system: cubic
# Offset from the most stable computed form, eV per formula unit: 0.880
data_HfTlCuNi
_chemical_formula_sum 'Hf1 Tl1 Cu1 Ni1'
_cell_length_a 4.562
_cell_length_b 4.562
_cell_length_c 4.562
_cell_angle_alpha 60.00
_cell_angle_beta 60.00
_cell_angle_gamma 60.00
_space_group_name_H-M_alt 'P 1'
_space_group_IT_number 1
loop_
_space_group_symop_operation_xyz
'x,y,z'
loop_
_atom_site_label
_atom_site_type_symbol
_atom_site_fract_x
_atom_site_fract_y
_atom_site_fract_z
Cu1 Cu 0.750 0.750 0.750
Hf1 Hf 0.250 0.250 0.250
Ni1 Ni 0.500 0.500 0.500
Tl1 Tl 0.000 0.000 0.000